Record 1
First-principles (SCAN) data for Cd2AgBr at its PBEsol-relaxed geometry, as listed in Alexandria.

Output
formation energy without anion corrections = 0.027 eV per atom
space-group type = P4/mmm (123)
D(E_F) = 0.23 states/eV/atom

Unit cell a=4.0154 b=4.0154 c=5.7097 alpha=90.00 beta=90.00 gamma=90.00
Closest atoms and distances in Å follow each position.
Sites, in units of the cell vectors:
Cd 0.0000 0.5000 0.0000  4 Cd 2.84
Cd 0.5000 0.0000 0.0000  4 Cd 2.84
Br 0.0000 0.0000 0.5000  4 Ag 2.84
Ag 0.5000 0.5000 0.5000  4 Br 2.84


Record 2
First-principles (SCAN) data for KMo2Ru at its PBEsol-relaxed geometry, as listed in Alexandria.

Output
ΔE_f = 1302 meV per atom
relative energy among the computed polymorphs = 0.340 eV/atom
space-group type = Imm2 (44)
D(E_F) = 0.93 states/eV/atom

Unit cell a=2.8956 b=5.1802 c=5.5998 alpha=117.55 beta=104.98 gamma=90.00
Closest atoms and distances in Å follow each position.
Sites, in units of the cell vectors:
K 0.2482 0.7482 0.4964  2 K 2.90, 6 Mo 2.97-3.07, 2 Ru 3.03
Mo 0.0333 0.0333 0.0666  2 Mo 2.52
Mo 0.7508 0.2508 0.5015  2 Ru 2.52, 2 Mo 2.52
Ru 0.4677 0.4677 0.9355  2 Mo 2.52


Record 3
First-principles (SCAN) data for Cr2PRu at its PBEsol-relaxed geometry, as listed in Alexandria.

Output
ΔE_f = 132 meV per atom
space-group type = P4/mmm (123)
D(E_F) = 1.14 states/eV/atom

Unit cell a=2.8185 b=4.0867 c=4.0867 alpha=90.00 beta=90.00 gamma=90.00
Closest atoms and distances in Å follow each position.
Sites, in units of the cell vectors:
Cr 0.0000 0.0000 0.5000  4 Ru 2.48, 4 P 2.48
Cr 0.0000 0.5000 0.0000  4 Ru 2.48, 4 P 2.48
P 0.5000 0.5000 0.5000  8 Cr 2.48
Ru 0.5000 0.0000 0.0000  8 Cr 2.48


Record 4
First-principles (SCAN) data for Y2TcW at its PBEsol-relaxed geometry, as listed in Alexandria.

Output
ΔE_f = 647 meV per atom
relative energy among the computed polymorphs = 0.520 eV/atom
space-group type = Fm-3m (225)
D(E_F) = 1.10 states/eV/atom

Unit cell a=4.8390 b=4.8390 c=4.8390 alpha=60.00 beta=60.00 gamma=60.00
Closest atoms and distances in Å follow each position.
Sites, in units of the cell vectors:
Y 0.7500 0.7500 0.7500  4 W 2.96, 4 Tc 2.96
Y 0.2500 0.2500 0.2500  4 W 2.96, 4 Tc 2.96
Tc 0.0000 0.0000 0.0000  8 Y 2.96
W 0.5000 0.5000 0.5000  8 Y 2.96


Record 5
First-principles (SCAN) data for KTi3Pb at its PBEsol-relaxed geometry, as listed in Alexandria.

Output
ΔE_f = 999 meV per atom
space-group type = Pm-3m (221)
D(E_F) = 0.83 states/eV/atom

Unit cell a=5.3526 b=5.3526 c=5.3526 alpha=90.00 beta=90.00 gamma=90.00
Closest atoms and distances in Å follow each position.
Sites, in units of the cell vectors:
Pb 0.0000 0.0000 0.0000  6 Ti 2.68
Ti 0.5000 0.0000 0.0000  2 Pb 2.68
Ti 0.0000 0.0000 0.5000  2 Pb 2.68
Ti 0.0000 0.5000 0.0000  2 Pb 2.68
K 0.5000 0.5000 0.5000  12 Ti 3.78


Record 6
First-principles (SCAN) data for KHg5Br11 at its PBEsol-relaxed geometry, as listed in Alexandria.

Output
formation energy without anion corrections = -0.630 eV per atom
space-group type = C2/m (12)
D(E_F) = 0.00 states/eV/atom

Unit cell a=6.7283 b=9.5140 c=9.5140 alpha=102.69 beta=106.66 gamma=106.66
Closest atoms and distances in Å follow each position.
Sites, in units of the cell vectors:
Br 0.0801 0.1772 0.4234  1 Hg 2.46
Br 0.5000 0.0000 0.0000  4 Hg 3.13, 2 K 3.36
Br 0.7101 0.1413 0.7069  1 Hg 2.47
Br 0.2899 0.8587 0.2931  1 Hg 2.47
Br 0.7101 0.7069 0.1413  1 Hg 2.47
Br 0.4048 0.6492 0.6492  1 Hg 2.48
Br 0.5952 0.3508 0.3508  1 Hg 2.48
Br 0.9199 0.5766 0.8228  1 Hg 2.46
Br 0.2899 0.2931 0.8587  1 Hg 2.47
Br 0.9199 0.8228 0.5766  1 Hg 2.46
Br 0.0801 0.4234 0.1772  1 Hg 2.46
Hg 0.6803 0.0256 0.3506  2 Br 2.46-2.47
Hg 0.6803 0.3506 0.0256  2 Br 2.46-2.47
Hg 0.0000 0.5000 0.5000  2 Br 2.48
Hg 0.3197 0.6494 0.9744  2 Br 2.46-2.47
Hg 0.3197 0.9744 0.6494  2 Br 2.46-2.47
K 0.0000 0.0000 0.0000  6 Br 3.36-3.66


Record 7
First-principles (SCAN) data for CsBeRe3 at its PBEsol-relaxed geometry, as listed in Alexandria.

Output
ΔE_f = 2283 meV per atom
space-group type = Pm-3m (221)
D(E_F) = 1.11 states/eV/atom

Unit cell a=4.3617 b=4.3617 c=4.3617 alpha=90.00 beta=90.00 gamma=90.00
Closest atoms and distances in Å follow each position.
Sites, in units of the cell vectors:
Be 0.0000 0.0000 0.0000  6 Re 2.18
Re 0.5000 0.0000 0.0000  2 Be 2.18
Re 0.0000 0.5000 0.0000  2 Be 2.18
Re 0.0000 0.0000 0.5000  2 Be 2.18
Cs 0.5000 0.5000 0.5000  12 Re 3.08


Record 8
First-principles (SCAN) data for RbHfIN2 at its PBEsol-relaxed geometry, as listed in Alexandria.

Output
formation energy without anion corrections = 2.502 eV per atom
space-group type = P4/mmm (123)
D(E_F) = 0.44 states/eV/atom

Unit cell a=4.2940 b=4.2940 c=5.7964 alpha=90.00 beta=90.00 gamma=90.00
Closest atoms and distances in Å follow each position.
Sites, in units of the cell vectors:
Rb 0.0000 0.0000 0.0000  4 N 2.15
N 0.0000 0.5000 0.0000  2 Rb 2.15
N 0.5000 0.0000 0.0000  2 Rb 2.15
Hf 0.5000 0.5000 0.5000  4 I 3.04
I 0.0000 0.0000 0.5000  2 Rb 2.90, 4 Hf 3.04


Record 9
First-principles (SCAN) data for MnTc3Os at its PBEsol-relaxed geometry, as listed in Alexandria.

Output
ΔE_f = 1574 meV per atom
space-group type = Pm-3m (221)
D(E_F) = 1.01 states/eV/atom

Unit cell a=4.6137 b=4.6137 c=4.6137 alpha=90.00 beta=90.00 gamma=90.00
Closest atoms and distances in Å follow each position.
Sites, in units of the cell vectors:
Mn 0.5000 0.5000 0.5000  12 Tc 3.26
Tc 0.0000 0.0000 0.5000  2 Os 2.31
Tc 0.0000 0.5000 0.0000  2 Os 2.31
Tc 0.5000 0.0000 0.0000  2 Os 2.31
Os 0.0000 0.0000 0.0000  6 Tc 2.31


Record 10
First-principles (SCAN) data for Y2CuGeO at its PBEsol-relaxed geometry, as listed in Alexandria.

Output
formation energy without anion corrections = -1.074 eV per atom
space-group type = P4/mmm (123)
D(E_F) = 0.61 states/eV/atom

Unit cell a=4.1957 b=4.6282 c=4.6282 alpha=90.00 beta=90.00 gamma=90.00
Closest atoms and distances in Å follow each position.
Sites, in units of the cell vectors:
Cu 0.5000 0.5000 0.5000  8 Y 3.12, 4 Ge 3.27
O 0.0000 0.0000 0.0000  2 Ge 2.10, 4 Y 2.31
Y 0.0000 0.0000 0.5000  2 O 2.31
Y 0.0000 0.5000 0.0000  2 O 2.31
Ge 0.5000 0.0000 0.0000  2 O 2.10


Record 11
First-principles (SCAN) data for CdMo3 at its PBEsol-relaxed geometry, as listed in Alexandria.

Output
ΔE_f = 216 meV per atom
relative energy among the computed polymorphs = 0.000 eV/atom
space-group type = Cmmm (65)
D(E_F) = 0.54 states/eV/atom

Unit cell a=2.7306 b=2.7306 c=9.1770 alpha=90.00 beta=90.00 gamma=108.68
Closest atoms and distances in Å follow each position.
Sites, in units of the cell vectors:
Mo 0.5000 0.5000 0.2670  6 Mo 2.67-2.73, 2 Cd 2.92
Mo 0.5000 0.5000 0.7330  6 Mo 2.67-2.73, 2 Cd 2.92
Mo 0.0000 0.0000 0.5000  8 Mo 2.67-2.73
Cd 0.0000 0.0000 0.0000  4 Cd 2.73, 4 Mo 2.92


Record 12
First-principles (SCAN) data for KSiSb2I at its PBEsol-relaxed geometry, as listed in Alexandria.

Output
formation energy without anion corrections = 1.474 eV per atom
space-group type = P4/mmm (123)
D(E_F) = 1.13 states/eV/atom

Unit cell a=5.7985 b=5.7720 c=5.7720 alpha=90.00 beta=90.00 gamma=90.00
Closest atoms and distances in Å follow each position.
Sites, in units of the cell vectors:
I 0.5000 0.0000 0.0000  2 K 2.90
Sb 0.0000 0.0000 0.5000  2 K 2.89
Sb 0.0000 0.5000 0.0000  2 K 2.89
Si 0.5000 0.5000 0.5000  4 I 4.08, 8 Sb 4.09
K 0.0000 0.0000 0.0000  4 Sb 2.89, 2 I 2.90